First-principles (SCAN) data for a PBEsol-optimized structure of SrLaMo2, as listed in Alexandria via LeMat-Bulk.

Structure (POSCAR):
```
SrLaMo2
1.0
-2.504 -0.587 4.376
-2.021 -4.503 1.183
2.023 -2.789 3.727
La Mo Sr
1 2 1
Cartesian
0.000 0.000 0.000
-0.626 -1.970 2.321
-1.877 -5.910 6.964
-1.251 -3.940 4.642
```

## Properties
- DFT total energy: -32.5670 eV per atom
- DFT formation energy: 1.221 eV/atom
- Crystal system: cubic